Sc7CI12 at its PBEsol-relaxed geometry. Source: Alexandria via LeMat-Bulk, functional SCAN.

The structure belongs to space group R3 (No. 146, hexagonal axes); the cell edges are 14.5862, 14.5862 and 9.7058 Å and the angles 90.00°, 90.00° and 120.00°. The distinct sites, in fractional coordinates, are Sc at (0.0000, 0.0000, 0.0000), Sc at (0.0404, 0.8983, 0.3363), Sc at (0.1462, 0.0417, 0.6045), C at (0.0000, 0.0000, 0.4754), I at (0.0262, 0.4396, 0.1391), I at (0.0511, 0.8740, 0.8096), I at (0.1035, 0.7433, 0.1420) and I at (0.1891, 0.0544, 0.1433).

For the total energy, the calculation gives -1.057 hartree per atom. As for the magnetization: 1.10 μB/f.u. As for the formation energy without anion corrections: -1.23 eV per atom.

---

Li2CaCl2 at its PBEsol-relaxed geometry. Source: Alexandria via LeMat-Bulk, functional SCAN.

The structure belongs to space group I4/mmm (No. 139); the cell edges are 4.022, 4.022 and 20.015 Å and the angles 90.00°, 90.00° and 90.00°. The distinct sites, in fractional coordinates, are Li at (0.000, 0.500, 0.250), Ca at (0.000, 0.000, 0.000) and Cl at (0.000, 0.000, 0.308).

For the total energy, the calculation gives -0.271 hartree per atom. As for the magnetization: 0.18 μB/f.u. As for the formation energy without anion corrections: -1.31 eV per atom.

---

SrLaTa at its PBEsol-relaxed geometry. Source: Alexandria via LeMat-Bulk, functional SCAN.

The structure belongs to space group F-43m (No. 216); the cell edges are 7.384, 7.384 and 7.384 Å and the angles 90.00°, 90.00° and 90.00°. The distinct sites, in fractional coordinates, are Sr at (0.000, 0.000, 0.000), La at (0.000, 0.000, 0.500) and Ta at (0.250, 0.250, 0.250).

For the total energy, the calculation gives -1.571 hartree per atom. As for the magnetization: 2.84 μB/f.u. Its formation energy is 1241.9 meV/atom.